[1]
DFT (PBE-GGA) results for a relaxed Tb5Pr4Y3 crystal.

Cell: 5.975 8.674 9.774 Å, 105.32 72.20 69.85°
Each line ends with the local moment (μB).
Sites, in units of the cell vectors:
Tb: 0.631 0.940 0.799  0.01
Pr: 0.137 0.778 0.947  0.00
Pr: 0.165 0.052 0.619  0.00
Y: 0.523 0.689 0.266  0.01
Pr: 0.863 0.222 0.053  0.00
Y: 0.000 0.500 0.500  0.15
Tb: 0.786 0.543 0.885  0.01
Tb: 0.369 0.060 0.201  0.01
Pr: 0.835 0.948 0.381  0.00
Tb: 0.214 0.457 0.115  0.01
Y: 0.477 0.311 0.734  0.01
Tb: 0.500 0.500 0.500  0.17

Output
crystal system = monoclinic
formation enthalpy at 0 K = 0.22 eV/atom
DFT total energy = -4.91 eV per atom


[2]
DFT (PBE-GGA) results for a relaxed SmEuPb crystal.

Cell: 4.244 4.244 6.058 Å, 110.50 110.50 90.00°
Each line ends with the local moment (μB).
Sites, in units of the cell vectors:
Sm: 0.268 0.268 0.535  -0.39
Pb: 0.623 0.623 0.245  0.05
Eu: 0.960 0.960 0.920  -7.02

Output
crystal system = tetragonal
formation enthalpy at 0 K = -0.32 eV/atom
DFT total energy = -6.55 eV per atom


[3]
DFT (PBE-GGA) results for a relaxed CdTc2Ru2 crystal.

Cell: 7.600 7.600 2.760 Å, 90.00 90.00 90.00°
Sites, in units of the cell vectors:
Tc: 0.835 0.335 0.500
Ru: 0.876 0.624 0.000
Ru: 0.124 0.376 0.000
Cd: 0.500 0.500 0.000
Tc: 0.165 0.665 0.500
Ru: 0.376 0.876 0.000
Tc: 0.335 0.165 0.500
Ru: 0.624 0.124 0.000
Cd: 0.000 0.000 0.000
Tc: 0.665 0.835 0.500

Output
crystal system = tetragonal
formation enthalpy at 0 K = 0.21 eV/atom
DFT total energy = -7.83 eV per atom


[4]
DFT (PBE-GGA) results for a relaxed BaLa2ZnOs crystal.

Cell: 5.563 5.563 5.265 Å, 90.00 90.00 90.00°
Sites, in units of the cell vectors:
La: 0.000 0.500 0.000
Zn: 0.000 0.000 0.500
Os: 0.000 0.000 0.000
Ba: 0.500 0.500 0.500
La: 0.500 0.000 0.000

Output
crystal system = tetragonal
formation enthalpy at 0 K = 0.01 eV/atom
DFT total energy = -4.85 eV per atom


[5]
DFT (PBE-GGA) results for a relaxed NdY3C crystal.

Cell: 5.087 5.087 5.087 Å, 90.00 90.00 90.00°
Sites, in units of the cell vectors:
Y: 0.500 0.000 0.000
C: 0.000 0.000 0.000
Y: 0.000 0.000 0.500
Y: 0.000 0.500 0.000
Nd: 0.500 0.500 0.500

Output
crystal system = cubic
formation enthalpy at 0 K = -0.02 eV/atom
DFT total energy = -6.69 eV per atom


[6]
DFT (PBE-GGA) results for a relaxed CoHgTe2I crystal.

Cell: 5.034 5.034 5.682 Å, 90.00 90.00 90.00°
Each line ends with the local moment (μB).
Sites, in units of the cell vectors:
Co: 0.000 0.000 0.000  1.05
Te: 0.500 0.000 0.000  0.18
Hg: 0.500 0.500 0.500  0.05
Te: 0.000 0.500 0.000  0.18
I: 0.000 0.000 0.500  0.05

Output
uncorrected formation energy = 0.33 eV per atom
crystal system = tetragonal
DFT total energy = -2.72 eV per atom


[7]
DFT (PBE-GGA) results for a relaxed CsAsBr2O crystal.

Cell: 6.577 6.577 3.719 Å, 90.00 90.00 90.00°
Sites, in units of the cell vectors:
Br: 0.000 0.500 0.000
Cs: 0.500 0.500 0.500
Br: 0.500 0.000 0.000
O: 0.000 0.000 0.000
As: 0.000 0.000 0.500

Output
uncorrected formation energy = -0.53 eV per atom
crystal system = tetragonal
DFT total energy = -3.29 eV per atom


[8]
DFT (PBE-GGA) results for a relaxed Ca2CuB3Pt12 crystal.

Cell: 7.292 7.292 7.292 Å, 66.42 66.42 66.42°
Sites, in units of the cell vectors:
Pt: 0.676 0.676 0.087
Pt: 0.378 0.876 0.876
Pt: 0.676 0.087 0.676
Pt: 0.876 0.876 0.378
Pt: 0.087 0.676 0.676
Pt: 0.913 0.324 0.324
B: 0.500 0.000 0.000
B: 0.000 0.000 0.500
Ca: 0.398 0.398 0.398
Pt: 0.124 0.622 0.124
Pt: 0.876 0.378 0.876
Pt: 0.622 0.124 0.124
Pt: 0.324 0.913 0.324
Cu: 0.000 0.000 0.000
Pt: 0.124 0.124 0.622
B: 0.000 0.500 0.000
Pt: 0.324 0.324 0.913
Ca: 0.602 0.602 0.602

Output
crystal system = trigonal
formation enthalpy at 0 K = -0.26 eV/atom
DFT total energy = -5.85 eV per atom


[9]
DFT (PBE-GGA) results for a relaxed CrSbS2 crystal.

Cell: 11.204 5.659 5.659 Å, 66.71 119.14 60.86°
Each line ends with the local moment (μB).
Sites, in units of the cell vectors:
S: 0.433 0.687 0.869  -0.05
Cr: 0.313 0.231 0.336  1.06
Sb: 0.210 0.594 0.561  0.00
S: 0.561 0.695 0.489  -0.03
Sb: 0.710 0.939 0.906  0.00
S: 0.061 0.011 0.805  -0.03
Cr: 0.813 0.164 0.269  0.99
S: 0.933 0.631 0.813  -0.05

Output
uncorrected formation energy = -0.14 eV per atom
crystal system = monoclinic
DFT total energy = -5.64 eV per atom


[10]
DFT (PBE-GGA) results for a relaxed YAg4 crystal.

Cell: 11.995 11.995 11.995 Å, 15.19 15.19 15.19°
Sites, in units of the cell vectors:
Ag: 0.802 0.802 0.802
Ag: 0.198 0.198 0.198
Ag: 0.595 0.595 0.595
Y: 0.000 0.000 0.000
Ag: 0.405 0.405 0.405

Output
crystal system = trigonal
formation enthalpy at 0 K = 0.08 eV/atom
DFT total energy = -3.49 eV per atom


[11]
DFT (PBE-GGA) results for a relaxed ErHfThSc crystal.

Cell: 5.335 5.335 5.335 Å, 60.00 60.00 60.00°
Sites, in units of the cell vectors:
Er: 0.750 0.750 0.750
Th: 0.250 0.250 0.250
Sc: 0.000 0.000 0.000
Hf: 0.500 0.500 0.500

Output
crystal system = cubic
formation enthalpy at 0 K = 0.14 eV/atom
DFT total energy = -6.93 eV per atom


[12]
DFT (PBE-GGA) results for a relaxed Ac2PmCo3 crystal.

Cell: 4.690 8.472 8.434 Å, 120.15 90.00 90.00°
Each line ends with the local moment (μB).
Sites, in units of the cell vectors:
Co: 0.500 0.161 0.323  0.81
Co: 0.000 0.500 0.000  0.81
Co: 0.500 0.839 0.677  0.81
Co: 0.000 0.161 0.323  0.81
Co: 0.500 0.500 0.000  0.81
Pm: 0.250 0.156 0.000  -0.12
Ac: 0.750 0.490 0.323  -0.09
Pm: 0.750 0.844 0.000  -0.12
Ac: 0.250 0.833 0.323  -0.09
Co: 0.000 0.839 0.677  0.81
Ac: 0.750 0.167 0.677  -0.09
Ac: 0.250 0.510 0.677  -0.09

Output
crystal system = orthorhombic
formation enthalpy at 0 K = -0.02 eV/atom
DFT total energy = -5.73 eV per atom


[13]
DFT (PBE-GGA) results for a relaxed TiGeMo3 crystal.

Cell: 4.596 4.596 4.596 Å, 90.00 90.00 90.00°
Sites, in units of the cell vectors:
Ti: 0.500 0.500 0.500
Mo: 0.000 0.500 0.000
Mo: 0.000 0.000 0.500
Ge: 0.000 0.000 0.000
Mo: 0.500 0.000 0.000

Output
crystal system = cubic
formation enthalpy at 0 K = 1.16 eV/atom
DFT total energy = -7.84 eV per atom


[14]
DFT (PBE-GGA) results for a relaxed La2InRh3 crystal.

Cell: 4.672 5.474 6.390 Å, 115.36 111.44 90.00°
Sites, in units of the cell vectors:
Rh: 0.367 0.367 0.734
In: 0.000 0.500 0.000
Rh: 0.633 0.633 0.266
La: 0.322 0.822 0.643
Rh: 0.000 0.000 0.000
La: 0.678 0.178 0.357

Output
crystal system = orthorhombic
formation enthalpy at 0 K = -0.49 eV/atom
DFT total energy = -6.26 eV per atom


[15]
DFT (PBE-GGA) results for a relaxed GaRu3Cl crystal.

Cell: 4.341 4.341 4.341 Å, 90.00 90.00 90.00°
Each line ends with the local moment (μB).
Sites, in units of the cell vectors:
Cl: 0.000 0.000 0.000  0.01
Ru: 0.500 0.000 0.000  0.07
Ru: 0.000 0.000 0.500  0.07
Ru: 0.000 0.500 0.000  0.09
Ga: 0.500 0.500 0.500  0.00

Output
uncorrected formation energy = 1.05 eV per atom
crystal system = cubic
DFT total energy = -5.49 eV per atom


[16]
DFT (PBE-GGA) results for a relaxed Hf2MoH8 crystal.

Cell: 3.263 4.563 5.965 Å, 111.46 105.87 90.00°
Sites, in units of the cell vectors:
H: 0.227 0.314 0.454
Hf: 0.836 0.345 0.672
Mo: 0.500 0.000 0.000
H: 0.662 0.951 0.323
H: 0.010 0.783 0.019
H: 0.338 0.049 0.677
H: 0.990 0.217 0.981
H: 0.773 0.686 0.546
Hf: 0.164 0.655 0.328
H: 0.415 0.571 0.831
H: 0.585 0.429 0.169

Output
crystal system = monoclinic
DFT total energy = -5.43 eV per atom


[17]
DFT (PBE-GGA) results for a relaxed AcSbPd2Au2 crystal.

Cell: 5.312 5.312 6.612 Å, 113.69 113.69 90.00°
Sites, in units of the cell vectors:
Au: 0.250 0.750 0.500
Ac: 0.500 0.500 0.000
Pd: 0.237 0.237 0.474
Sb: 0.000 0.000 0.000
Pd: 0.763 0.763 0.526
Au: 0.750 0.250 0.500

Output
uncorrected formation energy = -0.28 eV per atom
crystal system = tetragonal
DFT total energy = -4.48 eV per atom


[18]
DFT (PBE-GGA) results for a relaxed CaSb3Rh crystal.

Cell: 5.241 5.241 5.241 Å, 90.00 90.00 90.00°
Sites, in units of the cell vectors:
Rh: 0.000 0.000 0.000
Sb: 0.500 0.000 0.000
Sb: 0.000 0.500 0.000
Ca: 0.500 0.500 0.500
Sb: 0.000 0.000 0.500

Output
uncorrected formation energy = -0.09 eV per atom
crystal system = cubic
DFT total energy = -4.44 eV per atom


[19]
DFT (PBE-GGA) results for a relaxed MnAg2HAu crystal.

Cell: 4.264 4.264 3.951 Å, 90.00 90.00 90.00°
Each line ends with the local moment (μB).
Sites, in units of the cell vectors:
Ag: 0.000 0.500 0.000  0.01
H: 0.000 0.000 0.000  -0.03
Au: 0.500 0.500 0.500  0.04
Mn: 0.000 0.000 0.500  3.92
Ag: 0.500 0.000 0.000  0.01

Output
crystal system = tetragonal
DFT total energy = -4.13 eV per atom


[20]
DFT (PBE-GGA) results for a relaxed La2Zn4Ga3Ge crystal.

Cell: 4.369 4.369 10.486 Å, 90.00 90.00 90.00°
Sites, in units of the cell vectors:
Zn: 0.000 0.500 0.366
La: 0.000 0.500 0.751
Zn: 0.000 0.000 0.000
Zn: 0.500 0.000 0.634
Zn: 0.500 0.500 0.000
La: 0.500 0.000 0.249
Ga: 0.000 0.500 0.131
Ge: 0.500 0.500 0.500
Ga: 0.000 0.000 0.500
Ga: 0.500 0.000 0.869

Output
crystal system = tetragonal
formation enthalpy at 0 K = -0.50 eV/atom
DFT total energy = -3.36 eV per atom